No. 1
## Fe2CuBr (PBE-GGA)

Data for a geometry-optimized Fe2CuBr structure.

a = 4.0239 Å, b = 4.0239 Å, c = 6.1461 Å
α = 93.98°, β = 93.98°, γ = 46.00°
With the nearest neighbours (Å) after each atom.
Fractional positions:
Br: 0.4085 0.4085 0.5508  1 Cu 2.47, 3 Fe 2.66-2.74
Cu: 0.3313 0.3313 0.1533  3 Fe 2.36-2.44, 1 Br 2.47
Fe: 0.0336 0.0336 0.9886  3 Cu 2.36-2.44, 3 Fe 2.45-2.46
Fe: 0.7267 0.7267 0.8073  3 Fe 2.45-2.46, 3 Br 2.66-2.74, 2 Cu 2.71

Values from the calculation:
E_form (uncorrected) = 0.457 eV/atom
E above lowest polymorph = 114.1 meV per atom
V = 71 Å³/cell


No. 2
## Er5Ga2Co (PBE-GGA)

Data for a geometry-optimized Er5Ga2Co structure.

a = 6.7055 Å, b = 6.7055 Å, c = 6.3568 Å
α = 121.83°, β = 121.83°, γ = 90.01°
With the nearest neighbours (Å) after each atom.
Fractional positions:
Er: 0.7326 0.2376 0.9702  1 Co 2.67
Er: 0.2372 0.2372 0.9690  1 Co 2.68
Er: 0.7318 0.7318 0.9690  1 Co 2.68
Er: 0.2376 0.7326 0.9702  1 Co 2.67
Er: 0.7496 0.7496 0.4991  8 Er 3.11-3.25, 1 Co 3.18, 4 Ga 3.36
Ga: 0.2316 0.7316 0.4632  10 Er 3.16-3.36, 2 Co 3.47
Ga: 0.7316 0.2316 0.4632  10 Er 3.16-3.36, 2 Co 3.47
Co: 0.1250 0.1250 0.2500  4 Er 2.67-2.68

Values from the calculation:
V = 190 Å³/cell
energy relative to the elements = -0.171 eV per atom


No. 3
## CrCd2Se (PBE-GGA)

Data for a geometry-optimized CrCd2Se structure.

a = 8.1916 Å, b = 8.1916 Å, c = 6.3957 Å
α = 50.18°, β = 50.18°, γ = 90.00°
With the nearest neighbours (Å) after each atom.
Fractional positions:
Cr: 0.5000 0.5000 0.0000  2 Se 2.71
Cr: 0.2500 0.7500 0.5000  2 Se 2.71
Se: 0.0000 0.0000 0.0000  2 Cr 2.71, 4 Cd 2.84
Se: 0.7500 0.2500 0.5000  2 Cr 2.71, 4 Cd 2.84
Cd: 0.6504 0.1250 0.2500  2 Cd 2.74, 2 Se 2.84
Cd: 0.0996 0.6250 0.2500  2 Cd 2.74, 2 Se 2.84
Cd: 0.3750 0.3496 0.7500  2 Cd 2.74, 2 Se 2.84
Cd: 0.8750 0.9004 0.7500  2 Cd 2.74, 2 Se 2.84

Values from the calculation:
E_form (uncorrected) = 0.182 eV/atom
V = 182 Å³/cell


Across the entries above, E_tot takes the values -0.192 -0.172 -0.131 hartree per atom, respectively.